# CaC3

A geometry-optimized CaC3 structure (GGA-PBE, Alexandria via LeMat-Bulk).

a = 4.6680 Å, b = 9.5097 Å, c = 5.3806 Å
α = 90.00°, β = 90.00°, γ = 90.00°
Space group Cmcm (No. 63)
One atom of each set of equivalent atoms:
Ca: 0.0000 0.1413 0.2500 x4
C: 0.0000 0.4740 0.7500 x4
C: 0.1513 0.3943 0.2500 x8

Output
E_form, meV/atom: 940
Offset from the most stable computed form, meV per atom: 418
Magnetization, μB per formula unit: 0.0